Entry 1:
PBE-GGA ZnBi3H2Pd9, optimized geometry; final energy = -0.3403 Ry per atom; Fermi-level density of states = 0.48 states/eV/atom; space-group type = No. 164
1.0
5.701 0.000 0.000
-2.850 4.937 0.000
0.000 0.000 8.686
Bi Pd H Zn
3 9 2 1
Cartesian
2.850 1.646 3.402
0.000 0.000 0.000
0.000 3.291 5.284
4.243 0.842 6.245
-1.392 4.095 2.441
2.850 3.253 6.245
2.850 0.000 0.000
1.425 2.469 0.000
0.000 1.684 2.441
1.458 0.842 6.245
-1.425 2.469 0.000
1.392 4.095 2.441
0.000 3.291 0.927
2.850 1.646 7.760
0.000 0.000 4.343

---

Entry 2:
PBE-GGA ZnBiHPd2, optimized geometry; final energy = -0.2813 Ry per atom; Fermi-level density of states = 0.30 states/eV/atom; space-group type = No. 123
1.0
-3.694 1.960 0.961
-0.467 -2.555 3.415
2.035 2.705 2.302
Pd Zn Bi H
2 1 1 1
Cartesian
-0.234 -1.278 1.708
-1.847 0.980 0.481
1.017 1.353 1.151
-1.063 1.055 3.340
0.000 0.000 0.000

---

Entry 3:
PBE-GGA Pm4BiH, optimized geometry; final energy = -0.3457 Ry per atom; Fermi-level density of states = 1.34 states/eV/atom; space-group type = No. 11
1.0
6.111 -0.656 0.000
-3.883 6.697 0.000
0.000 0.000 9.611
Pm Bi H
8 2 2
Cartesian
4.761 0.790 9.090
4.761 0.790 5.326
-2.532 5.250 0.521
1.768 1.618 2.403
1.576 0.483 7.208
0.461 4.423 7.208
0.653 5.558 2.403
-2.532 5.250 4.284
-1.203 2.871 2.403
3.432 3.169 7.208
5.415 -0.291 7.208
-3.186 6.332 2.403

---

Entry 4:
PBE-GGA Pm4Bi2H9, optimized geometry; final energy = -0.3191 Ry per atom; Fermi-level density of states = 0.22 states/eV/atom; space-group type = No. 164
1.0
-2.344 1.361 2.657
3.153 -1.852 1.018
8.736 14.914 0.069
Bi Pm H
2 4 9
Cartesian
1.637 3.957 2.128
7.909 10.466 1.616
4.907 5.342 1.593
2.156 0.645 1.571
7.390 13.778 2.173
4.638 9.081 2.151
-0.160 0.891 2.114
0.757 1.293 0.006
5.463 9.327 0.043
9.705 13.532 1.630
3.439 7.034 2.142
7.979 13.621 0.063
4.368 7.457 0.034
3.273 5.587 0.026
6.106 7.389 1.602

---

Entry 5:
PBE-GGA Pm3Bi2H, optimized geometry; final energy = -0.3553 Ry per atom; Fermi-level density of states = 0.54 states/eV/atom; space-group type = No. 15
1.0
6.445 0.000 0.000
0.000 8.143 0.649
-3.222 -1.588 6.437
H Pm Bi
2 6 4
Cartesian
0.121 2.036 0.162
6.324 6.108 0.487
2.577 1.582 4.716
4.103 6.108 0.487
-0.646 0.902 2.046
3.868 5.654 5.040
0.646 4.973 2.371
2.341 2.036 0.162
3.673 3.695 2.447
2.771 -0.377 2.122
0.451 6.933 4.965
-0.451 2.861 4.640

---

Entry 6:
PBE-GGA Pm2BiH4, optimized geometry; final energy = -0.3268 Ry per atom; Fermi-level density of states = 0.16 states/eV/atom; space-group type = No. 166
1.0
-0.064 -1.395 3.605
1.359 -3.546 0.725
8.008 1.536 2.809
H Pm Bi
4 2 1
Cartesian
6.040 -1.119 3.820
4.858 0.213 2.241
3.264 -2.285 3.320
4.446 -3.617 4.898
6.578 -2.721 5.283
2.726 -0.683 1.857
0.000 0.000 0.000

---

What did the fifth record say?
PBE-GGA Pm3Bi2H, optimized geometry; final energy = -0.3553 Ry per atom; Fermi-level density of states = 0.54 states/eV/atom; space-group type = No. 15
1.0
6.445 0.000 0.000
0.000 8.143 0.649
-3.222 -1.588 6.437
H Pm Bi
2 6 4
Cartesian
0.121 2.036 0.162
6.324 6.108 0.487
2.577 1.582 4.716
4.103 6.108 0.487
-0.646 0.902 2.046
3.868 5.654 5.040
0.646 4.973 2.371
2.341 2.036 0.162
3.673 3.695 2.447
2.771 -0.377 2.122
0.451 6.933 4.965
-0.451 2.861 4.640

---

> Which formula does entry 5 have?

Pm3Bi2H

---

> Fermi-level density of states of number 3 (Pm4BiH)?

1.34 states/eV/atom